--- P ---
{"formula": "MnPWS2", "functional": "PBE", "state": "optimized geometry", "mass_density_g_cm3": 5.30, "magmom_total_mub_per_cell": 4.8, "spacegroup": "No. 123", "cell": [[4.6091, 0.0000, 0.0000], [0.0000, 4.6091, 0.0000], [0.0000, 0.0000, 4.9226]], "species": ["Mn", "S", "P", "S", "W"], "frac_coords": [[0.5000, 0.5000, 0.5000], [0.5000, 0.0000, 0.0000], [0.0000, 0.0000, 0.5000], [0.0000, 0.5000, 0.0000], [0.0000, 0.0000, 0.0000]]}


--- Q ---
{"formula": "MnPWS2", "functional": "PBE", "state": "optimized geometry", "mass_density_g_cm3": 6.71, "magmom_total_mub_per_cell": 2.5, "spacegroup": "No. 123", "cell": [[-0.0713, -0.1905, -4.3295], [-0.5710, -4.2919, 0.1983], [-4.3572, 0.5818, 0.0462]], "species": ["Mn", "S", "W", "S", "P"], "frac_coords": [[0.0000, 0.0000, 0.0000], [0.0000, 0.5000, 0.0000], [0.5000, 0.5000, 0.5000], [0.5000, 0.0000, 0.0000], [0.0000, 0.0000, 0.5000]]}


Bottom line: P, by a margin of 567 meV per atom.


--- P ---
{"formula": "MnZnP2S", "functional": "PBE", "state": "optimized geometry", "mass_density_g_cm3": 3.89, "magmom_total_mub_per_cell": 0.3, "spacegroup": "No. 123", "cell": [[-3.3354, -2.5036, 0.1416], [1.6880, -2.4159, -2.9542], [2.3375, -2.9043, 3.7107]], "species": ["S", "Zn", "Mn", "P", "P"], "frac_coords": [[0.0000, 0.0000, 0.5000], [0.5000, 0.5000, 0.5000], [0.0000, 0.0000, 0.0000], [0.5000, 0.0000, 0.0000], [0.0000, 0.5000, 0.0000]]}


--- Q ---
{"formula": "MnZnP2S", "functional": "PBE", "state": "optimized geometry", "mass_density_g_cm3": 3.72, "magmom_total_mub_per_cell": 0.2, "spacegroup": "No. 123", "cell": [[-1.2091, -3.4438, -2.6785], [1.8735, -2.9200, 2.9086], [-4.0633, -0.3420, 2.2739]], "species": ["Mn", "S", "P", "P", "Zn"], "frac_coords": [[0.5000, 0.5000, 0.5000], [0.0000, 0.0000, 0.5000], [0.5000, 0.0000, 0.0000], [0.0000, 0.5000, 0.0000], [0.0000, 0.0000, 0.0000]]}


Bottom line: P, by a margin of 1007 meV per atom.


--- P ---
{"formula": "ZrMnP2S", "functional": "PBE", "state": "optimized geometry", "mass_density_g_cm3": 3.20, "magmom_total_mub_per_cell": 4.3, "spacegroup": "No. 123", "cell": [[-2.9523, 2.2790, -3.3904], [-0.8177, -4.4280, -2.2645], [-3.8910, -0.7548, 2.8808]], "species": ["P", "Mn", "S", "Zr", "P"], "frac_coords": [[0.5000, 0.0000, 0.0000], [0.5000, 0.5000, 0.5000], [0.0000, 0.0000, 0.5000], [0.0000, 0.0000, 0.0000], [0.0000, 0.5000, 0.0000]]}


--- Q ---
{"formula": "ZrMnP2S", "functional": "PBE", "state": "optimized geometry", "mass_density_g_cm3": 4.48, "magmom_total_mub_per_cell": 3.1, "spacegroup": "No. 123", "cell": [[-1.6526, -0.3861, -4.0996], [-3.3740, -2.4055, 1.5866], [-2.4060, 3.7796, 0.6139]], "species": ["P", "Mn", "S", "Zr", "P"], "frac_coords": [[0.0000, 0.5000, 0.0000], [0.0000, 0.0000, 0.0000], [0.0000, 0.0000, 0.5000], [0.5000, 0.5000, 0.5000], [0.5000, 0.0000, 0.0000]]}


Bottom line: Q, by a margin of 330 meV per atom.


--- P ---
{"formula": "Mn2SbP2", "functional": "PBE", "state": "optimized geometry", "mass_density_g_cm3": 5.93, "magmom_total_mub_per_cell": 1.6, "spacegroup": "No. 164", "cell": [[2.4618, 2.8501, 0.6411], [-2.8235, 0.4484, -2.5341], [-3.8637, 2.2784, 4.7081]], "species": ["Mn", "Sb", "Mn", "P", "P"], "frac_coords": [[0.6667, 0.3333, 0.3528], [0.0000, 0.0000, 0.0000], [0.3333, 0.6667, 0.6472], [0.3333, 0.6667, 0.3080], [0.6667, 0.3333, 0.6920]]}


--- Q ---
{"formula": "Mn2SbP2", "functional": "PBE", "state": "optimized geometry", "mass_density_g_cm3": 6.90, "magmom_total_mub_per_cell": 0.0, "spacegroup": "No. 139", "cell": [[-1.5401, -0.2072, -3.1596], [2.3750, -2.3993, -1.0004], [-2.9727, -5.4617, -0.1548]], "species": ["P", "Mn", "Mn", "P", "Sb"], "frac_coords": [[0.7500, 0.2500, 0.5000], [0.3754, 0.3754, 0.2492], [0.6246, 0.6246, 0.7508], [0.2500, 0.7500, 0.5000], [0.0000, 0.0000, 0.0000]]}


Bottom line: Q, by a margin of 38 meV per atom.